Entry 1:
Here is a relaxed TbPr2PaN4 crystal from Alexandria. Energies are from PBE.

a = 3.5889 Å, b = 6.1465 Å, c = 6.2613 Å
α = 109.01°, β = 90.00°, γ = 90.00°
Closest atoms and distances in Å follow each position.
Fractional positions:
N: 0.5000 0.7719 0.7844  2 Pa 2.40, 1 Tb 2.47, 1 Pr 2.60
N: 0.0000 0.2430 0.7792  1 Pa 2.34, 2 Tb 2.49, 2 Pr 2.61
N: 0.5000 0.2281 0.2156  2 Pa 2.40, 1 Tb 2.47, 1 Pr 2.60
N: 0.0000 0.7570 0.2208  1 Pa 2.34, 2 Tb 2.49, 2 Pr 2.61
Pr: 0.5000 0.0000 0.5000  6 N 2.60-2.61
Pr: 0.0000 0.5000 0.5000  6 N 2.69-2.71
Pa: 0.0000 0.0000 0.0000  6 N 2.34-2.40
Tb: 0.5000 0.5000 0.0000  6 N 2.47-2.49

Raw formation energy (eV/atom): -1.544
E_tot (Ry per atom): -0.637
ρ (Mg/m³): 9.25

Entry 2:
Here is a relaxed PrPaTcN4 crystal from Alexandria. Energies are from PBE.

a = 3.8699 Å, b = 3.8699 Å, c = 6.8511 Å
α = 106.41°, β = 106.41°, γ = 90.00°
Closest atoms and distances in Å follow each position.
Fractional positions:
N: 0.8295 0.8295 0.6590  1 Tc 2.08, 1 Pr 2.30
N: 0.1871 0.1871 0.3742  1 Pa 2.12
N: 0.9933 0.4933 0.9865  2 Tc 1.94
N: 0.4933 0.9933 0.9865  2 Tc 1.94
Tc: 0.9950 0.9950 0.9900  5 N 1.94-2.08
Pa: 0.3556 0.3556 0.7112  1 N 2.12
Pr: 0.6463 0.6463 0.2925  1 N 2.30

Raw formation energy (eV/atom): -0.972
E_tot (Ry per atom): -0.680
ρ (Mg/m³): 9.29

Entry 3:
Here is a relaxed PrPa2TcN4 crystal from Alexandria. Energies are from PBE.

a = 3.3966 Å, b = 6.2362 Å, c = 11.8028 Å
α = 90.00°, β = 90.00°, γ = 105.80°
Closest atoms and distances in Å follow each position.
Fractional positions:
N: 0.0000 0.0000 0.5000  4 Pa 2.41
N: 0.0000 0.0000 0.0000  4 Pa 2.41
N: 0.4525 0.9050 0.7500  2 Tc 2.15
N: 0.2716 0.5433 0.1114  1 Tc 2.14, 1 Pa 2.29
N: 0.7284 0.4567 0.8886  1 Tc 2.14, 1 Pa 2.29
N: 0.7284 0.4567 0.6114  1 Tc 2.14, 1 Pa 2.29
N: 0.5475 0.0950 0.2500  2 Tc 2.15
N: 0.2716 0.5433 0.3886  1 Tc 2.14, 1 Pa 2.29
Tc: 0.8431 0.6862 0.7500  4 N 2.14-2.15
Tc: 0.1569 0.3138 0.2500  4 N 2.14-2.15
Pa: 0.6313 0.2626 0.0554  6 N 2.29-2.51
Pa: 0.3687 0.7374 0.9446  6 N 2.29-2.51
Pa: 0.3687 0.7374 0.5554  6 N 2.29-2.51
Pa: 0.6313 0.2626 0.4446  6 N 2.29-2.51
Pr: 0.8957 0.7915 0.2500  2 N 2.49
Pr: 0.1043 0.2085 0.7500  2 N 2.49

Raw formation energy (eV/atom): -1.231
E_tot (Ry per atom): -0.710
ρ (Mg/m³): 10.45

Entry 4:
Here is a relaxed PrPa4Tc3N12 crystal from Alexandria. Energies are from PBE.

a = 7.1385 Å, b = 7.1385 Å, c = 7.1385 Å
α = 109.47°, β = 109.47°, γ = 109.47°
Closest atoms and distances in Å follow each position.
Fractional positions:
Tc: 0.0000 0.5000 0.5000  4 N 2.00
Tc: 0.5000 0.0000 0.5000  4 N 2.00
Tc: 0.5000 0.5000 0.0000  4 N 2.00
N: 0.1574 0.3170 0.8404  1 Tc 2.00
N: 0.1596 0.8426 0.6830  1 Tc 2.00
N: 0.6830 0.1596 0.8426  1 Tc 2.00
N: 0.6830 0.8404 0.5233  1 Tc 2.00
N: 0.8404 0.5233 0.6830  1 Tc 2.00
N: 0.8426 0.6830 0.1596  1 Tc 2.00
N: 0.3170 0.1596 0.4767  1 Tc 2.00
N: 0.4767 0.3170 0.1596  1 Tc 2.00
N: 0.5233 0.6830 0.8404  1 Tc 2.00
N: 0.8404 0.1574 0.3170  1 Tc 2.00
N: 0.3170 0.8404 0.1574  1 Tc 2.00
N: 0.1596 0.4767 0.3170  1 Tc 2.00
Pr: 0.0000 0.0000 0.0000  12 N 2.93
Pa: 0.5000 0.0000 0.0000  6 N 2.26
Pa: 0.0000 0.0000 0.5000  6 N 2.26
Pa: 0.5000 0.5000 0.5000  6 N 2.26
Pa: 0.0000 0.5000 0.0000  6 N 2.26

Raw formation energy (eV/atom): -0.639
E_tot (Ry per atom): -0.686
ρ (Mg/m³): 9.06

Entry 5:
Here is a relaxed Pr2ThPaN4 crystal from Alexandria. Energies are from PBE.

a = 3.6296 Å, b = 6.2997 Å, c = 6.2960 Å
α = 109.31°, β = 90.00°, γ = 90.00°
Closest atoms and distances in Å follow each position.
Fractional positions:
N: 0.0000 0.7578 0.2182  1 Pa 2.37, 2 Th 2.52, 2 Pr 2.64
N: 0.5000 0.7778 0.7884  2 Pa 2.41, 1 Th 2.53, 1 Pr 2.63
N: 0.5000 0.2222 0.2116  2 Pa 2.41, 1 Th 2.53, 1 Pr 2.63
N: 0.0000 0.2422 0.7818  1 Pa 2.37, 2 Th 2.52, 2 Pr 2.64
Pa: 0.0000 0.0000 0.0000  6 N 2.37-2.41
Th: 0.5000 0.5000 0.0000  6 N 2.52-2.53
Pr: 0.5000 0.0000 0.5000  6 N 2.63-2.64
Pr: 0.0000 0.5000 0.5000  6 N 2.75-2.77

Raw formation energy (eV/atom): -1.529
E_tot (Ry per atom): -0.662
ρ (Mg/m³): 9.79

Entry 6:
Here is a relaxed Pr3Th2PaN6 crystal from Alexandria. Energies are from PBE.

a = 6.3217 Å, b = 6.3217 Å, c = 6.3228 Å
α = 99.57°, β = 99.57°, γ = 120.04°
Closest atoms and distances in Å follow each position.
Fractional positions:
Th: 0.3334 0.6666 0.0000  6 N 2.52-2.53
Th: 0.6666 0.3334 0.0000  6 N 2.52-2.53
N: 0.7571 0.7571 0.2212  1 Pa 2.40, 2 Th 2.53, 2 Pr 2.64
N: 0.0731 0.3895 0.2190  1 Pa 2.39, 2 Th 2.52-2.53, 2 Pr 2.65
N: 0.2429 0.2429 0.7788  1 Pa 2.40, 2 Th 2.53, 2 Pr 2.64
N: 0.9269 0.6105 0.7810  1 Pa 2.39, 2 Th 2.52-2.53, 2 Pr 2.65
N: 0.3895 0.0731 0.2190  1 Pa 2.39, 2 Th 2.52-2.53, 2 Pr 2.65
N: 0.6105 0.9269 0.7810  1 Pa 2.39, 2 Th 2.52-2.53, 2 Pr 2.65
Pa: 0.0000 0.0000 0.0000  6 N 2.39-2.40
Pr: 0.5000 0.5000 0.5000  6 N 2.65-2.77
Pr: 0.1659 0.8341 0.5000  6 N 2.64-2.78
Pr: 0.8341 0.1659 0.5000  6 N 2.64-2.78

Raw formation energy (eV/atom): -1.520
E_tot (Ry per atom): -0.655
ρ (Mg/m³): 9.68